A plane-wave DFT calculation with PBE-GGA was carried out for a relaxed ErUBiN2 crystal.

abc: 3.926 3.926 6.898
angles: 106.53 106.53 90.00
Each line ends with the local moment (μB).
Element x y z (fractional)
U (0.171, 0.171, 0.343)  0.55
Er (0.837, 0.837, 0.673)  -0.01
N (0.243, 0.743, 0.486)  -0.03
N (0.743, 0.243, 0.486)  -0.03
Bi (0.506, 0.506, 0.012)  -0.03

## Properties
Energy relative to the elements, uncorrected   -1281 meV per atom
Crystal system   tetragonal
Density   10.96 g/cm³
Symmetry   I4mm, No. 107